A plane-wave DFT calculation with GGA-PBE was carried out for Cs2PaAg2S4 after structural relaxation.

Summary:
- Energy relative to the elements, uncorrected: -1.05 eV/atom

Unit cell a=15.347 b=4.197 c=8.264 alpha=90.00 beta=108.79 gamma=90.00
Space group C2/m (No. 12)
Unique sites:
Cs: 0.137 0.000 0.068 x4
Pa: 0.000 0.000 0.500 x2
Ag: 0.179 0.500 0.483 x4
S: 0.013 0.500 0.284 x4
S: 0.187 0.000 0.673 x4

=====

A plane-wave DFT calculation with GGA-PBE was carried out for Cu2SbAs after structural relaxation.

Summary:
- Energy relative to the elements, uncorrected: 0.27 eV/atom

Unit cell a=4.328 b=4.328 c=3.734 alpha=90.00 beta=90.00 gamma=90.00
Space group P4/mmm (No. 123)
Unique sites:
Cu: 0.000 0.500 0.000 x2
Sb: 0.000 0.000 0.500 x1
As: 0.500 0.500 0.500 x1